Entry from Alexandria via LeMat-Bulk: an optimized crystal structure of TbHfCu10 (PBE-GGA).

a = 4.090 Å, b = 4.968 Å, c = 8.548 Å
α = 90.00°, β = 90.00°, γ = 90.00°
Fractional positions:
Tb 0.000 0.000 0.000
Hf 0.000 0.500 0.500
Cu 0.000 0.000 0.341
Cu 0.000 0.000 0.659
Cu 0.000 0.500 0.176
Cu 0.000 0.500 0.824
Cu 0.500 0.000 0.500
Cu 0.500 0.254 0.257
Cu 0.500 0.254 0.743
Cu 0.500 0.500 0.000
Cu 0.500 0.746 0.257
Cu 0.500 0.746 0.743

Output
Total moment   0.00 μB per cell
E_tot   -4.733 eV/atom
Space-group type   Pmmm
Formation enthalpy at 0 K   -104 meV per atom

=====

Entry from Alexandria via LeMat-Bulk: an optimized crystal structure of TbHfCuTc (PBE-GGA).

a = 6.697 Å, b = 6.697 Å, c = 6.697 Å
α = 90.00°, β = 90.00°, γ = 90.00°
Fractional positions:
Tb 0.000 0.000 0.000
Tb 0.000 0.500 0.500
Tb 0.500 0.000 0.500
Tb 0.500 0.500 0.000
Hf 0.000 0.000 0.500
Hf 0.000 0.500 0.000
Hf 0.500 0.000 0.000
Hf 0.500 0.500 0.500
Cu 0.250 0.250 0.250
Cu 0.250 0.750 0.750
Cu 0.750 0.250 0.750
Cu 0.750 0.750 0.250
Tc 0.250 0.250 0.750
Tc 0.250 0.750 0.250
Tc 0.750 0.250 0.250
Tc 0.750 0.750 0.750

Output
Total moment   0.00 μB per cell
E_tot   -7.427 eV/atom
Space-group type   F-43m
Formation enthalpy at 0 K   -166 meV per atom

=====

Entry from Alexandria via LeMat-Bulk: an optimized crystal structure of TbHfZnCu (PBE-GGA).

a = 6.805 Å, b = 6.805 Å, c = 6.805 Å
α = 90.00°, β = 90.00°, γ = 90.00°
Fractional positions:
Tb 0.000 0.000 0.000
Tb 0.000 0.500 0.500
Tb 0.500 0.000 0.500
Tb 0.500 0.500 0.000
Hf 0.000 0.000 0.500
Hf 0.000 0.500 0.000
Hf 0.500 0.000 0.000
Hf 0.500 0.500 0.500
Zn 0.250 0.250 0.750
Zn 0.250 0.750 0.250
Zn 0.750 0.250 0.250
Zn 0.750 0.750 0.750
Cu 0.250 0.250 0.250
Cu 0.250 0.750 0.750
Cu 0.750 0.250 0.750
Cu 0.750 0.750 0.250

Output
Total moment   4.00 μB per cell
E_tot   -5.099 eV/atom
Space-group type   F-43m
Formation enthalpy at 0 K   -110 meV per atom

=====

Entry from Alexandria via LeMat-Bulk: an optimized crystal structure of HfCuTc3 (PBE-GGA).

a = 4.731 Å, b = 4.731 Å, c = 4.731 Å
α = 90.00°, β = 90.00°, γ = 90.00°
Fractional positions:
Hf 0.000 0.000 0.000
Cu 0.500 0.500 0.500
Tc 0.000 0.000 0.500
Tc 0.000 0.500 0.000
Tc 0.500 0.000 0.000

Output
Total moment   2.57 μB per cell
E_tot   -6.976 eV/atom
Space-group type   Pm-3m
Formation enthalpy at 0 K   2053 meV per atom

=====

Entry from Alexandria via LeMat-Bulk: an optimized crystal structure of HfCu3Tc (PBE-GGA).

a = 4.515 Å, b = 4.515 Å, c = 4.515 Å
α = 90.00°, β = 90.00°, γ = 90.00°
Fractional positions:
Hf 0.000 0.000 0.000
Cu 0.000 0.500 0.500
Cu 0.500 0.000 0.500
Cu 0.500 0.500 0.000
Tc 0.500 0.500 0.500

Output
Total moment   0.00 μB per cell
E_tot   -5.400 eV/atom
Space-group type   Pm-3m
Formation enthalpy at 0 K   1121 meV per atom

=====

Entry from Alexandria via LeMat-Bulk: an optimized crystal structure of Hf2CuTc2 (PBE-GGA).

a = 6.608 Å, b = 6.608 Å, c = 4.041 Å
α = 90.00°, β = 90.00°, γ = 90.00°
Fractional positions:
Hf 0.176 0.324 0.000
Hf 0.324 0.824 0.000
Hf 0.676 0.176 0.000
Hf 0.824 0.676 0.000
Cu 0.000 0.000 0.500
Cu 0.500 0.500 0.500
Tc 0.132 0.632 0.500
Tc 0.368 0.132 0.500
Tc 0.632 0.868 0.500
Tc 0.868 0.368 0.500

Output
Total moment   0.00 μB per cell
E_tot   -9.010 eV/atom
Space-group type   P4/mbm
Formation enthalpy at 0 K   -63 meV per atom

=====

Entry from Alexandria via LeMat-Bulk: an optimized crystal structure of Hf2CuTc (PBE-GGA).

a = 2.840 Å, b = 5.019 Å, c = 10.331 Å
α = 90.00°, β = 90.00°, γ = 90.00°
Fractional positions:
Hf 0.000 0.000 0.247
Hf 0.000 0.000 0.753
Hf 0.500 0.500 0.253
Hf 0.500 0.500 0.747
Cu 0.000 0.000 0.000
Cu 0.500 0.500 0.500
Tc 0.000 0.000 0.500
Tc 0.500 0.500 0.000

Output
Total moment   0.00 μB per cell
E_tot   -8.009 eV/atom
Space-group type   Immm
Formation enthalpy at 0 K   583 meV per atom

=====

Entry from Alexandria via LeMat-Bulk: an optimized crystal structure of Hf2CuTc (PBE-GGA).

a = 6.517 Å, b = 6.517 Å, c = 6.517 Å
α = 90.00°, β = 90.00°, γ = 90.00°
Fractional positions:
Hf 0.250 0.250 0.250
Hf 0.250 0.250 0.750
Hf 0.250 0.750 0.250
Hf 0.250 0.750 0.750
Hf 0.750 0.250 0.250
Hf 0.750 0.250 0.750
Hf 0.750 0.750 0.250
Hf 0.750 0.750 0.750
Cu 0.000 0.000 0.000
Cu 0.000 0.500 0.500
Cu 0.500 0.000 0.500
Cu 0.500 0.500 0.000
Tc 0.000 0.000 0.500
Tc 0.000 0.500 0.000
Tc 0.500 0.000 0.000
Tc 0.500 0.500 0.500

Output
Total moment   0.00 μB per cell
E_tot   -8.931 eV/atom
Space-group type   Fm-3m
Formation enthalpy at 0 K   -338 meV per atom

=====

> Look up the total moment of the second one.

0.00 μB per cell